(1)
DFT (GGA-PBE) results for a relaxed structure of Y4MgPd2.

abc: 4.939 4.939 9.432
angles: 74.82 74.82 60.00
Element x y z (fractional)
Pd  0.402  0.402  0.793
Pd  0.598  0.598  0.207
Y  0.295  0.295  0.116
Y  0.705  0.705  0.884
Y  0.114  0.114  0.658
Y  0.886  0.886  0.342
Mg  0.500  0.500  0.500

Summary:
As for the energy of formation: -0.3823 eV/atom. As for the space-group type: No. 166.


(2)
DFT (GGA-PBE) results for a relaxed structure of YMgPd.

abc: 4.713 4.713 4.713
angles: 60.00 60.00 60.00
Element x y z (fractional)
Y  0.000  0.000  0.000
Mg  0.500  0.500  0.500
Pd  0.250  0.250  0.250

Summary:
As for the energy of formation: -0.5301 eV/atom. As for the space-group type: No. 216.


(3)
DFT (GGA-PBE) results for a relaxed structure of YMg9Pd3.

abc: 5.627 7.171 7.544
angles: 82.25 68.10 68.81
Element x y z (fractional)
Mg  0.704  0.787  0.777
Mg  0.018  0.326  0.647
Mg  0.982  0.674  0.353
Mg  0.520  0.213  0.777
Mg  0.335  0.674  0.647
Mg  0.665  0.326  0.353
Mg  0.000  0.500  0.000
Mg  0.296  0.213  0.223
Mg  0.480  0.787  0.223
Pd  0.500  0.000  0.500
Pd  0.500  0.500  0.000
Pd  0.000  0.000  0.500
Y  0.000  0.000  0.000

Summary:
As for the energy of formation: -0.3870 eV/atom. As for the space-group type: No. 12.


(4)
DFT (GGA-PBE) results for a relaxed structure of YMg5Pd6.

abc: 4.585 6.571 7.334
angles: 90.00 110.94 90.00
Element x y z (fractional)
Mg  0.000  0.500  0.000
Mg  0.666  0.500  0.330
Mg  0.334  0.500  0.670
Mg  0.325  0.000  0.657
Mg  0.675  0.000  0.343
Pd  0.171  0.741  0.340
Pd  0.500  0.737  0.000
Pd  0.500  0.263  0.000
Pd  0.171  0.259  0.340
Pd  0.829  0.259  0.660
Pd  0.829  0.741  0.660
Y  0.000  0.000  0.000

Summary:
As for the energy of formation: -0.7445 eV/atom. As for the space-group type: No. 10.